1.
A plane-wave DFT calculation with PBE was carried out for crystalline Zr3TiIn at its relaxed geometry.

## Properties
SG: Cmcm
formation energy from the elements: -0.13 eV per atom
Fermi-level density of states: 1.046 states/eV/atom
distance to the lowest polymorph of the same formula: 0.000 eV/atom

Cell: 4.234 4.427 11.769 Å, 90.01 100.38 90.00°
Positions (direct):
Zr  0.951  0.750  0.901
Zr  0.049  0.250  0.099
Zr  0.341  0.750  0.681
Zr  0.659  0.250  0.319
Zr  0.157  0.750  0.315
Zr  0.843  0.250  0.685
Ti  0.749  0.750  0.498
Ti  0.251  0.250  0.502
In  0.555  0.750  0.111
In  0.445  0.250  0.889



2.
A plane-wave DFT calculation with PBE was carried out for crystalline Y2VOs at its relaxed geometry.

## Properties
SG: Fm-3m
formation energy from the elements: 0.12 eV per atom
Fermi-level density of states: 0.851 states/eV/atom
distance to the lowest polymorph of the same formula: 0.000 eV/atom

Cell: 4.931 4.931 4.931 Å, 60.00 60.00 60.00°
Last column: magnetic moment on the atom in μB.
Positions (direct):
Y  0.250  0.250  0.250  0.20
Y  0.750  0.750  0.750  0.20
Os  0.500  0.500  0.500  -0.01
V  0.000  0.000  0.000  2.67



3.
A plane-wave DFT calculation with PBE was carried out for crystalline La3SiBiCl at its relaxed geometry.

## Properties
SG: P2_1/m
E_form (uncorrected): -1.019 eV/atom
Fermi-level density of states: 0.536 states/eV/atom

Cell: 4.565 9.021 9.838 Å, 102.92 90.00 90.00°
Last column: magnetic moment on the atom in μB.
Positions (direct):
La  0.250  0.743  0.478  0.14
La  0.750  0.885  0.133  0.03
La  0.750  0.429  0.155  0.06
La  0.750  0.257  0.522  0.14
La  0.250  0.571  0.845  0.06
La  0.250  0.115  0.867  0.03
Si  0.250  0.663  0.160  -0.01
Si  0.750  0.337  0.840  -0.01
Bi  0.750  0.818  0.772  0.00
Bi  0.250  0.182  0.228  0.00
Cl  0.250  0.092  0.579  0.00
Cl  0.750  0.908  0.421  0.00



4.
A plane-wave DFT calculation with PBE was carried out for crystalline RbTc2RuF at its relaxed geometry.

## Properties
SG: P4/mmm
E_form (uncorrected): 3.091 eV/atom
Fermi-level density of states: 1.301 states/eV/atom

Cell: 5.339 4.866 5.339 Å, 90.00 90.00 90.00°
Last column: magnetic moment on the atom in μB.
Positions (direct):
Ru  0.000  0.500  0.000  1.74
Tc  0.000  0.000  0.500  3.09
Tc  0.500  0.000  0.000  3.45
Rb  0.000  0.000  0.000  0.06
F  0.500  0.500  0.500  0.16



5.
A plane-wave DFT calculation with PBE was carried out for crystalline Zr3CuC at its relaxed geometry.

## Properties
SG: Pm-3m
formation energy from the elements: -0.25 eV per atom
Fermi-level density of states: 0.614 states/eV/atom
distance to the lowest polymorph of the same formula: 0.099 eV/atom

Cell: 4.505 4.505 4.505 Å, 90.00 90.00 90.00°
Positions (direct):
C  0.000  0.000  0.000
Cu  0.500  0.500  0.500
Zr  0.000  0.500  0.000
Zr  0.000  0.000  0.500
Zr  0.500  0.000  0.000



6.
A plane-wave DFT calculation with PBE was carried out for crystalline Sc2IrAu at its relaxed geometry.

## Properties
SG: R-3m
formation energy from the elements: -0.05 eV per atom
Fermi-level density of states: 0.743 states/eV/atom

Cell: 9.850 9.850 9.850 Å, 17.69 17.69 17.69°
Positions (direct):
Sc  0.915  0.915  0.915
Sc  0.085  0.085  0.085
Ir  0.000  0.000  0.000
Au  0.500  0.500  0.500



7.
A plane-wave DFT calculation with PBE was carried out for crystalline NbTl2BiRh at its relaxed geometry.

## Properties
SG: P4/mmm
formation energy from the elements: 1.59 eV per atom
Fermi-level density of states: 1.317 states/eV/atom

Cell: 5.711 4.942 5.711 Å, 90.00 90.00 90.00°
Last column: magnetic moment on the atom in μB.
Positions (direct):
Tl  0.000  0.000  0.500  0.00
Tl  0.500  0.000  0.000  0.00
Rh  0.000  0.500  0.000  0.05
Bi  0.000  0.000  0.000  0.02
Nb  0.500  0.500  0.500  -0.24



8.
A plane-wave DFT calculation with PBE was carried out for crystalline CoGe4Ir at its relaxed geometry.

## Properties
SG: C2/c
formation energy from the elements: -0.16 eV per atom
Fermi-level density of states: 0.217 states/eV/atom
distance to the lowest polymorph of the same formula: 0.014 eV/atom

Cell: 5.216 5.663 7.861 Å, 110.77 109.01 90.96°
Positions (direct):
Co  0.222  0.472  0.444
Co  0.778  0.528  0.556
Ge  0.151  0.803  0.808
Ge  0.657  0.505  0.808
Ge  0.919  0.769  0.382
Ge  0.081  0.231  0.618
Ge  0.537  0.887  0.618
Ge  0.343  0.495  0.192
Ge  0.463  0.113  0.382
Ge  0.849  0.197  0.192
Ir  0.456  0.206  0.913
Ir  0.544  0.794  0.087



9.
A plane-wave DFT calculation with PBE was carried out for crystalline PHCl6 at its relaxed geometry.

## Properties
SG: P-1
Fermi-level density of states: 0.000 states/eV/atom

Cell: 6.629 6.826 10.342 Å, 46.08 43.36 65.35°
Positions (direct):
P  0.000  0.000  0.000
H  0.500  0.500  0.500
Cl  0.251  0.427  0.755
Cl  0.991  0.145  0.746
Cl  0.591  0.133  0.168
Cl  0.009  0.855  0.254
Cl  0.749  0.573  0.245
Cl  0.409  0.867  0.832



10.
A plane-wave DFT calculation with PBE was carried out for crystalline Na2TaBe2 at its relaxed geometry.

## Properties
SG: I4/mmm
formation energy from the elements: 0.75 eV per atom
Fermi-level density of states: 0.583 states/eV/atom
distance to the lowest polymorph of the same formula: 0.000 eV/atom

Cell: 3.523 3.523 6.894 Å, 75.19 75.19 90.00°
Positions (direct):
Na  0.750  0.250  0.500
Na  0.250  0.750  0.500
Be  0.426  0.426  0.148
Be  0.574  0.574  0.852
Ta  0.000  0.000  0.000



11.
A plane-wave DFT calculation with PBE was carried out for crystalline PPb2Se at its relaxed geometry.

## Properties
SG: P4mm
E_form (uncorrected): -0.118 eV/atom
Fermi-level density of states: 0.895 states/eV/atom
distance to the lowest polymorph of the same formula: 0.021 eV/atom

Cell: 4.234 4.234 6.076 Å, 90.00 90.00 90.00°
Positions (direct):
P  0.500  0.500  0.875
Pb  0.000  0.000  0.875
Pb  0.500  0.500  0.374
Se  0.000  0.000  0.376



12.
A plane-wave DFT calculation with PBE was carried out for crystalline Ac2HgBi4 at its relaxed geometry.

## Properties
SG: Fmmm
formation energy from the elements: -0.55 eV per atom
Fermi-level density of states: 0.240 states/eV/atom
distance to the lowest polymorph of the same formula: 0.030 eV/atom

Cell: 6.925 6.925 7.134 Å, 119.15 119.15 89.83°
Positions (direct):
Ac  0.286  0.786  0.571
Ac  0.786  0.286  0.571
Hg  0.786  0.786  0.572
Bi  0.786  0.786  0.072
Bi  0.286  0.286  0.071
Bi  0.786  0.286  0.071
Bi  0.286  0.786  0.071



no.,E (eV per atom)
1,-7.386
2,-8.195
3,-5.341
4,-3.478
5,-8.045
6,-6.251
7,-3.616
8,-5.898
9,-2.926
10,-3.637
11,-4.195
12,-3.988